VASP calculation (PBE-GGA) on a geometry-optimized InGa2Pt9 structure.

Values from the calculation:
The total energy is -5.685 eV/atom. As for the crystal system: tetragonal. The formation energy comes out at -0.4215 eV/atom.

Unit cell a=3.9837 b=3.9837 c=11.9277 alpha=90.00 beta=90.00 gamma=90.00
With the nearest neighbours (Å) after each atom.
Space group P4/mmm (No. 123)
Asymmetric unit:
In  0.0000  0.0000  0.0000 [1 per cell]  12 Pt 2.82-2.88
Ga  0.0000  0.0000  0.3354 [2 per cell]  12 Pt 2.76-2.82
Pt  0.0000  0.5000  0.1749 [4 per cell]  2 Ga 2.76, 8 Pt 2.78-2.88, 2 In 2.88
Pt  0.0000  0.5000  0.5000 [2 per cell]  8 Pt 2.78-2.82, 4 Ga 2.80
Pt  0.5000  0.5000  0.0000 [1 per cell]  4 In 2.82, 8 Pt 2.88
Pt  0.5000  0.5000  0.3375 [2 per cell]  8 Pt 2.78, 4 Ga 2.82

=====

VASP calculation (PBE-GGA) on a geometry-optimized CsPa2GeO8 structure.

Values from the calculation:
The total energy is -7.764 eV/atom. As for the crystal system: orthorhombic. The formation energy without anion corrections is -2420 meV/atom.

Unit cell a=6.7898 b=7.1198 c=7.6276 alpha=90.00 beta=90.00 gamma=90.00
With the nearest neighbours (Å) after each atom.
Space group Cmmm (No. 65)
Asymmetric unit:
Cs  0.0000  0.0000  0.0000 [2 per cell]  2 O 2.50
Pa  0.0000  0.5000  0.2729 [4 per cell]  4 O 2.08-2.26
Ge  0.0000  0.0000  0.5000 [2 per cell]  6 O 1.91-2.12
O  0.0000  0.2971  0.5000 [4 per cell]  1 Ge 2.12, 2 Pa 2.26
O  0.0000  0.3514  0.0000 [4 per cell]  1 O 2.12, 2 Pa 2.33
O  0.1986  0.0000  0.3232 [8 per cell]  1 Ge 1.91, 1 Pa 2.08

=====

VASP calculation (PBE-GGA) on a geometry-optimized KTl2Bi2 structure.

Values from the calculation:
The total energy is -2.838 eV/atom. As for the crystal system: tetragonal. The formation energy comes out at -0.1196 eV/atom.

Unit cell a=9.7058 b=9.7058 c=3.6673 alpha=90.00 beta=90.00 gamma=90.00
With the nearest neighbours (Å) after each atom.
Space group P4/mbm (No. 127)
Asymmetric unit:
K  0.0000  0.0000  0.0000 [2 per cell]  2 K 3.67, 4 Tl 3.82, 8 Bi 4.05
Tl  0.1278  0.3722  0.0000 [4 per cell]  6 Bi 3.35-3.43, 3 Tl 3.51-3.67
Bi  0.1682  0.6682  0.5000 [4 per cell]  6 Tl 3.35-3.43, 2 Bi 3.67

=====

VASP calculation (PBE-GGA) on a geometry-optimized Nd8GaPt3Br4 structure.

Values from the calculation:
The total energy is -5.250 eV/atom. As for the crystal system: monoclinic. The formation energy without anion corrections is -1126 meV/atom.

Unit cell a=14.7115 b=8.4959 c=9.0924 alpha=90.00 beta=122.69 gamma=90.00
With the nearest neighbours (Å) after each atom.
Space group C2/m (No. 12)
Asymmetric unit:
Nd  0.0165  0.2441  0.2944 [8 per cell]  2 Pt 2.89, 1 Ga 2.96
Nd  0.2343  0.0000  0.7020 [4 per cell]  3 Pt 2.90
Nd  0.2393  0.5000  0.7056 [4 per cell]  2 Pt 2.89, 1 Ga 2.96
Ga  0.0000  0.5000  0.5000 [2 per cell]  6 Nd 2.96
Pt  0.0000  0.0000  0.5000 [2 per cell]  6 Nd 2.89-2.90
Pt  0.2500  0.2500  0.5000 [4 per cell]  6 Nd 2.89-2.90
Br  0.0000  0.0000  0.0000 [2 per cell]  6 Nd 3.28-3.29
Br  0.0000  0.5000  0.0000 [2 per cell]  6 Nd 3.34-3.35
Br  0.2500  0.2500  0.0000 [4 per cell]  6 Nd 3.35

=====

VASP calculation (PBE-GGA) on a geometry-optimized KScTa3 structure.

Values from the calculation:
The total energy is -6.463 eV/atom. As for the crystal system: cubic. The formation energy comes out at 2.1343 eV/atom.

Unit cell a=5.0108 b=5.0108 c=5.0108 alpha=90.00 beta=90.00 gamma=90.00
With the nearest neighbours (Å) after each atom.
Space group Pm-3m (No. 221)
Asymmetric unit:
K  0.0000  0.0000  0.0000 [1 per cell]  12 Ta 3.54
Sc  0.5000  0.5000  0.5000 [1 per cell]  6 Ta 2.51
Ta  0.0000  0.5000  0.5000 [3 per cell]  2 Sc 2.51

=====

VASP calculation (PBE-GGA) on a geometry-optimized AgRuAu2 structure.

Values from the calculation:
The total energy is -4.408 eV/atom. As for the crystal system: trigonal. The formation energy comes out at 0.2621 eV/atom.

Unit cell a=2.8500 b=2.8500 c=28.7167 alpha=90.00 beta=90.00 gamma=120.00
With the nearest neighbours (Å) after each atom.
Space group R-3m (No. 166, hexagonal axes)
Asymmetric unit:
Ag  0.0000  0.0000  0.0000 [3 per cell]  6 Ag 2.85, 6 Au 2.97
Ru  0.0000  0.0000  0.5000 [3 per cell]  6 Au 2.84, 6 Ru 2.85
Au  0.0000  0.0000  0.2472 [6 per cell]  3 Ru 2.84, 6 Au 2.85, 3 Ag 2.97

=====

VASP calculation (PBE-GGA) on a geometry-optimized LiSn2Bi2 structure.

Values from the calculation:
The total energy is -3.400 eV/atom. As for the crystal system: tetragonal. The formation energy comes out at 0.1364 eV/atom.

Unit cell a=4.6679 b=4.6679 c=15.2091 alpha=90.00 beta=90.00 gamma=90.00
With the nearest neighbours (Å) after each atom.
Space group I4/mmm (No. 139)
Asymmetric unit:
Li  0.0000  0.0000  0.0000 [2 per cell]  8 Sn 3.61
Sn  0.0000  0.0000  0.4042 [4 per cell]  1 Sn 2.91
Bi  0.0000  0.5000  0.2500 [4 per cell]  4 Bi 3.30, 4 Sn 3.31

=====

VASP calculation (PBE-GGA) on a geometry-optimized Pm4Er3Th2 structure.

Values from the calculation:
The total energy is -5.205 eV/atom. As for the crystal system: trigonal. The formation energy comes out at 0.0760 eV/atom.

Unit cell a=3.5730 b=3.5730 c=26.8633 alpha=90.00 beta=90.00 gamma=120.00
With the nearest neighbours (Å) after each atom.
Space group P3m1 (No. 156)
Asymmetric unit:
Pm  0.0000  0.0000  0.0000 [1 per cell]  1 Th 3.46, 3 Er 3.52, 6 Pm 3.57
Pm  0.0000  0.0000  0.2140 [1 per cell]  3 Er 3.56, 9 Pm 3.57-3.70
Pm  0.3333  0.6667  0.3284 [1 per cell]  3 Er 3.54, 9 Pm 3.57-3.70
Pm  0.3333  0.6667  0.5446 [1 per cell]  6 Pm 3.57, 3 Er 3.58, 3 Th 3.63
Er  0.0000  0.0000  0.4356 [1 per cell]  6 Pm 3.54-3.58, 6 Er 3.57
Er  0.3333  0.6667  0.1061 [1 per cell]  6 Pm 3.52-3.56, 6 Er 3.57
Er  0.3333  0.6667  0.7641 [1 per cell]  6 Th 3.54-3.57, 6 Er 3.57
Th  0.0000  0.0000  0.6558 [1 per cell]  3 Er 3.57, 6 Th 3.57, 3 Pm 3.63
Th  0.0000  0.0000  0.8713 [1 per cell]  1 Pm 3.46, 3 Er 3.54, 6 Th 3.57

=====

VASP calculation (PBE-GGA) on a geometry-optimized BaCo2Tc structure.

Values from the calculation:
The total energy is -5.873 eV/atom. As for the crystal system: tetragonal. The formation energy comes out at 0.7525 eV/atom.

Unit cell a=5.0046 b=5.0046 c=15.1826 alpha=90.00 beta=90.00 gamma=90.00
With the nearest neighbours (Å) after each atom.
Space group I4_1/amd (No. 141, origin choice 2)
Asymmetric unit:
Ba  0.0000  0.2500  0.3750 [4 per cell]  8 Co 3.38, 4 Tc 3.54
Co  0.0000  0.0000  0.0000 [8 per cell]  2 Tc 2.27, 2 Co 2.50
Tc  0.0000  0.2500  0.8750 [4 per cell]  4 Co 2.27

=====

VASP calculation (PBE-GGA) on a geometry-optimized LiBeAl structure.

Values from the calculation:
The total energy is -3.005 eV/atom. As for the crystal system: tetragonal. The formation energy comes out at 0.1227 eV/atom.

Unit cell a=2.6925 b=2.6925 c=11.2483 alpha=90.00 beta=90.00 gamma=90.00
With the nearest neighbours (Å) after each atom.
Space group I4mm (No. 107)
Asymmetric unit:
Li  0.0000  0.0000  0.0000 [2 per cell]  4 Be 2.64, 4 Li 2.69, 4 Al 2.89
Be  0.0000  0.0000  0.6620 [2 per cell]  4 Al 2.50, 4 Li 2.64, 4 Be 2.69
Al  0.0000  0.0000  0.3065 [2 per cell]  4 Be 2.50, 4 Al 2.69

=====

VASP calculation (PBE-GGA) on a geometry-optimized Na2DyGaI6 structure.

Values from the calculation:
The total energy is -3.074 eV/atom. As for the crystal system: trigonal. The formation energy without anion corrections is -1117 meV/atom.

Unit cell a=8.0328 b=8.0328 c=21.9194 alpha=90.00 beta=90.00 gamma=120.00
With the nearest neighbours (Å) after each atom.
Space group R3 (No. 146, hexagonal axes)
Asymmetric unit:
Na  0.0000  0.0000  0.0000 [3 per cell]  6 I 3.21-3.28
Na  0.0000  0.0000  0.4905 [3 per cell]  6 I 3.23-3.32
Dy  0.0000  0.0000  0.6799 [3 per cell]  6 I 3.04-3.06
Ga  0.0000  0.0000  0.1879 [3 per cell]  6 I 3.25-3.41
I  0.0032  0.7002  0.5943 [9 per cell]  1 Dy 3.06, 2 Na 3.21-3.32, 1 Ga 3.25
I  0.0074  0.3608  0.4226 [9 per cell]  1 Dy 3.04, 2 Na 3.23-3.28

=====

VASP calculation (PBE-GGA) on a geometry-optimized RbTmSnCl6 structure.

Values from the calculation:
The total energy is -4.108 eV/atom. As for the crystal system: trigonal. The formation energy without anion corrections is -1828 meV/atom.

Unit cell a=7.2320 b=7.2320 c=7.1200 alpha=90.00 beta=90.00 gamma=120.00
With the nearest neighbours (Å) after each atom.
Space group P312 (No. 149)
Asymmetric unit:
Rb  0.0000  0.0000  0.0000 [1 per cell]  6 Cl 3.38
Tm  0.6667  0.3333  0.5000 [1 per cell]  6 Cl 2.62
Sn  0.3333  0.6667  0.5000 [1 per cell]  6 Cl 2.86
Cl  0.3837  0.0252  0.7123 [6 per cell]  1 Tm 2.62, 1 Sn 2.86